ScFeTcSb: optimized geometry, PBE.

Cell: 6.3275 6.3275 6.3275 Å, 90.00 90.00 90.00°
With the nearest neighbours (Å) after each atom.
Space group F-43m (No. 216)
Unique sites:
1 Sc 0.0000 0.0000 0.0000 [4 per cell]  4 Tc 2.74, 4 Fe 2.74
2 Fe 0.2500 0.2500 0.7500 [4 per cell]  4 Sb 2.74, 4 Sc 2.74
3 Tc 0.2500 0.2500 0.2500 [4 per cell]  4 Sb 2.74, 4 Sc 2.74
4 Sb 0.0000 0.0000 0.5000 [4 per cell]  4 Fe 2.74, 4 Tc 2.74

Calculated values
**Electronic total energy**: -7.469 eV per atom
**Total magnetization**: 0.205 μB/atom
**Energy above the most stable polymorph in this dataset**: 0.000 eV/atom